Version 1
Density functional theory data (PBE-GGA) for a relaxed CrTcIr crystal.

The structure in POSCAR format:
```
CrTcIr
1.0
-1.3446 1.3446 5.6829
1.3446 -1.3446 5.6829
1.3446 1.3446 -5.6829
Cr Tc Ir
1 1 1
Cartesian
0.0000 0.0000 0.0000 Cr
0.0000 0.0000 3.8262 Tc
0.0000 0.0000 7.5129 Ir
```

SG: No. 107
Total magnetic moment, μB per formula unit: 0.006

=====

Version 2
Density functional theory data (PBE-GGA) for a relaxed CrTcIr crystal.

The structure in POSCAR format:
```
CrTcIr
1.0
-2.1003 2.6554 3.6736
2.1003 -2.6554 3.6736
2.1003 2.6554 -3.6736
Cr Tc Ir
2 2 2
Cartesian
0.0000 0.0000 1.1709 Cr
0.0000 0.0000 6.1763 Cr
2.1003 0.0000 2.4062 Tc
0.0000 2.6554 1.2674 Tc
2.1003 1.3302 0.0000 Ir
0.0000 1.3253 3.6736 Ir
```

SG: No. 71
Total magnetic moment, μB per formula unit: 0.000

=====

Most stable of them? version 2.

=====

Version 1
Density functional theory data (PBE-GGA) for a relaxed CrTcIr3 crystal.

The structure in POSCAR format:
```
CrTcIr3
1.0
4.2838 -1.9119 0.0000
4.2838 1.9119 0.0000
-0.0153 0.0000 8.5457
Cr Tc Ir
2 2 6
Cartesian
0.4239 0.0000 1.2660 Cr
8.1286 0.0000 7.2797 Cr
3.8600 0.0000 2.9646 Tc
4.6925 0.0000 5.5811 Tc
1.2421 0.0000 3.7886 Ir
2.1492 0.0000 6.4414 Ir
3.0351 0.0000 0.4362 Ir
5.5174 0.0000 8.1095 Ir
6.4032 0.0000 2.1043 Ir
7.3103 0.0000 4.7571 Ir
```

SG: No. 12
Total magnetic moment, μB per formula unit: 0.000

=====

Version 2
Density functional theory data (PBE-GGA) for a relaxed CrTcIr3 crystal.

The structure in POSCAR format:
```
CrTcIr3
1.0
4.4631 0.0000 0.0000
0.0000 4.4631 0.0000
0.0000 0.0000 4.4631
Cr Tc Ir
1 1 3
Cartesian
0.0000 0.0000 0.0000 Cr
2.2316 2.2316 2.2316 Tc
0.0000 0.0000 2.2316 Ir
0.0000 2.2316 0.0000 Ir
2.2316 0.0000 0.0000 Ir
```

SG: No. 221
Total magnetic moment, μB per formula unit: 4.077

=====

Most stable of them? version 1.

=====

Version 1
Density functional theory data (PBE-GGA) for a relaxed Cr2TcIr2 crystal.

The structure in POSCAR format:
```
Cr2TcIr2
1.0
7.2262 0.0000 0.0000
0.0000 7.2262 0.0000
0.0000 0.0000 2.6745
Cr Tc Ir
4 2 4
Cartesian
1.2186 2.3945 0.0000 Cr
2.3945 6.0076 0.0000 Cr
4.8317 1.2186 0.0000 Cr
6.0076 4.8317 0.0000 Cr
0.0000 0.0000 1.3372 Tc
3.6131 3.6131 1.3372 Tc
0.9327 4.5458 1.3372 Ir
2.6804 0.9327 1.3372 Ir
4.5458 6.2935 1.3372 Ir
6.2935 2.6804 1.3372 Ir
```

SG: No. 127
Total magnetic moment, μB per formula unit: 0.000

=====

Version 2
Density functional theory data (PBE-GGA) for a relaxed Cr2TcIr2 crystal.

The structure in POSCAR format:
```
Cr2TcIr2
1.0
7.1546 0.0000 0.0000
0.0000 7.1546 0.0000
0.0000 0.0000 2.6905
Cr Tc Ir
4 2 4
Cartesian
0.8335 2.7438 0.0000 Cr
2.7438 6.3211 0.0000 Cr
4.4108 0.8335 0.0000 Cr
6.3211 4.4108 0.0000 Cr
0.0000 0.0000 0.0000 Tc
3.5773 3.5773 0.0000 Tc
1.2620 4.8393 1.3452 Ir
2.3153 1.2620 1.3452 Ir
4.8393 5.8926 1.3452 Ir
5.8926 2.3153 1.3452 Ir
```

SG: No. 127
Total magnetic moment, μB per formula unit: 0.000

=====

Most stable of them? version 2.

=====

Version 1
Density functional theory data (PBE-GGA) for a relaxed CrTeIr crystal.

The structure in POSCAR format:
```
CrTeIr
1.0
2.9074 0.0000 0.0000
0.0000 4.1356 0.0000
-1.3769 0.0000 9.7384
Cr Te Ir
2 2 2
Cartesian
-0.0001 1.0339 0.6611 Cr
1.5306 3.1017 9.0772 Cr
0.0784 3.1017 6.5399 Te
1.4521 1.0339 3.1985 Te
0.0770 1.0339 8.2894 Ir
1.4535 3.1017 1.4490 Ir
```

SG: No. 11
Total magnetic moment, μB per formula unit: 0.000

=====

Version 2
Density functional theory data (PBE-GGA) for a relaxed CrTeIr crystal.

The structure in POSCAR format:
```
CrTeIr
1.0
1.9331 -8.5466 0.0000
1.9331 8.5466 0.0000
0.0000 0.0000 3.8128
Cr Te Ir
2 2 2
Cartesian
1.9331 7.7645 2.8596 Cr
1.9331 -7.7645 0.9532 Cr
1.9331 5.8233 0.9532 Te
1.9331 -5.8233 2.8596 Te
1.9331 0.8633 2.8596 Ir
1.9331 -0.8633 0.9532 Ir
```

SG: No. 63
Total magnetic moment, μB per formula unit: 0.001

=====

Version 3
Density functional theory data (PBE-GGA) for a relaxed CrTeIr crystal.

The structure in POSCAR format:
```
CrTeIr
1.0
1.8998 -8.8128 0.0000
1.8998 8.8128 0.0000
0.0000 0.0000 3.8789
Cr Te Ir
2 2 2
Cartesian
1.8998 8.1116 2.9092 Cr
1.8998 -8.1116 0.9697 Cr
1.8998 2.7272 0.9697 Te
1.8998 -2.7272 2.9092 Te
1.8998 0.9072 2.9092 Ir
1.8998 -0.9072 0.9697 Ir
```

SG: No. 63
Total magnetic moment, μB per formula unit: 0.000

=====

Version 4
Density functional theory data (PBE-GGA) for a relaxed CrTeIr crystal.

The structure in POSCAR format:
```
CrTeIr
1.0
-1.5328 1.5328 5.6470
1.5328 -1.5328 5.6470
1.5328 1.5328 -5.6470
Cr Te Ir
1 1 1
Cartesian
0.0000 0.0000 0.0000 Cr
0.0000 0.0000 7.6396 Te
0.0000 0.0000 4.2765 Ir
```

SG: No. 107
Total magnetic moment, μB per formula unit: 2.079

=====

Most stable of them? version 3.

=====

Version 1
Density functional theory data (PBE-GGA) for a relaxed CrTeIr crystal.

The structure in POSCAR format:
```
CrTeIr
1.0
4.4505 0.0000 0.0000
-2.2253 3.8543 0.0000
0.0000 0.0000 3.1428
Cr Te Ir
1 1 1
Cartesian
0.0000 0.0000 0.0000 Cr
2.2253 1.2848 1.5714 Te
0.0000 2.5695 1.5714 Ir
```

SG: No. 187
Total magnetic moment, μB per formula unit: 3.548

=====

Version 2
Density functional theory data (PBE-GGA) for a relaxed CrTeIr crystal.

The structure in POSCAR format:
```
CrTeIr
1.0
0.0000 3.0854 3.0854
3.0854 0.0000 3.0854
3.0854 3.0854 0.0000
Cr Te Ir
1 1 1
Cartesian
0.0000 0.0000 0.0000 Cr
3.0854 3.0854 3.0854 Te
4.6281 4.6281 4.6281 Ir
```

SG: No. 216
Total magnetic moment, μB per formula unit: 2.999

=====

Most stable of them? version 2.

=====

Version 1
Density functional theory data (PBE-GGA) for a relaxed CrTeIr crystal.

The structure in POSCAR format:
```
CrTeIr
1.0
-1.8256 1.8256 3.9805
1.8256 -1.8256 3.9805
1.8256 1.8256 -3.9805
Cr Te Ir
1 1 1
Cartesian
0.0000 0.0000 0.0000 Cr
0.0000 0.0000 2.5610 Te
0.0000 0.0000 5.1499 Ir
```

SG: No. 107
Total magnetic moment, μB per formula unit: 3.113

=====

Version 2
Density functional theory data (PBE-GGA) for a relaxed CrTeIr crystal.

The structure in POSCAR format:
```
CrTeIr
1.0
4.1485 -1.8776 0.0000
4.1485 1.8776 0.0000
-1.2749 0.0000 8.6136
Cr Te Ir
2 2 2
Cartesian
0.0000 0.0000 0.0000 Cr
3.6452 0.0000 7.1980 Cr
3.1478 0.0000 4.6810 Te
5.8176 0.0000 1.2495 Te
1.1556 0.0000 7.9519 Ir
6.1687 0.0000 6.2502 Ir
```

SG: No. 8
Total magnetic moment, μB per formula unit: 0.434

=====

Most stable of them? version 2.

=====

Version 1
Density functional theory data (PBE-GGA) for a relaxed TiCr3Ir crystal.

The structure in POSCAR format:
```
TiCr3Ir
1.0
4.6516 0.0000 0.0000
0.0000 4.6516 0.0000
0.0000 0.0000 4.6516
Ti Cr Ir
1 3 1
Cartesian
0.0000 0.0000 0.0000 Ti
0.0000 2.3258 2.3258 Cr
2.3258 0.0000 2.3258 Cr
2.3258 2.3258 0.0000 Cr
2.3258 2.3258 2.3258 Ir
```

SG: No. 221
Total magnetic moment, μB per formula unit: 7.057

=====

Version 2
Density functional theory data (PBE-GGA) for a relaxed TiCr3Ir crystal.

The structure in POSCAR format:
```
TiCr3Ir
1.0
4.1832 0.0000 0.0000
0.0000 4.1832 0.0000
0.0000 0.0000 4.1832
Ti Cr Ir
1 3 1
Cartesian
0.0000 0.0000 0.0000 Ti
0.0000 0.0000 2.0916 Cr
0.0000 2.0916 0.0000 Cr
2.0916 0.0000 0.0000 Cr
2.0916 2.0916 2.0916 Ir
```

SG: No. 221
Total magnetic moment, μB per formula unit: 0.000

=====

Most stable of them? version 1.

=====

Version 1
Density functional theory data (PBE-GGA) for a relaxed TiCr2Ir2 crystal.

The structure in POSCAR format:
```
TiCr2Ir2
1.0
7.2837 0.0000 0.0000
0.0000 7.2837 0.0000
0.0000 0.0000 2.7005
Ti Cr Ir
2 4 4
Cartesian
0.0000 0.0000 0.0000 Ti
3.6418 3.6418 0.0000 Ti
1.2199 2.4219 1.3502 Cr
2.4219 6.0637 1.3502 Cr
4.8618 1.2199 1.3502 Cr
6.0637 4.8618 1.3502 Cr
0.9546 4.5964 0.0000 Ir
2.6873 0.9546 0.0000 Ir
4.5964 6.3291 0.0000 Ir
6.3291 2.6873 0.0000 Ir
```

SG: No. 127
Total magnetic moment, μB per formula unit: 0.000

=====

Version 2
Density functional theory data (PBE-GGA) for a relaxed TiCr2Ir2 crystal.

The structure in POSCAR format:
```
TiCr2Ir2
1.0
7.2515 0.0000 0.0000
0.0000 7.2515 0.0000
0.0000 0.0000 2.6963
Ti Cr Ir
2 4 4
Cartesian
0.0000 0.0000 0.0000 Ti
3.6258 3.6258 0.0000 Ti
0.8419 2.7838 0.0000 Cr
2.7838 6.4096 0.0000 Cr
4.4677 0.8419 0.0000 Cr
6.4096 4.4677 0.0000 Cr
1.2813 4.9070 1.3482 Ir
2.3445 1.2813 1.3482 Ir
4.9070 5.9702 1.3482 Ir
5.9702 2.3445 1.3482 Ir
```

SG: No. 127
Total magnetic moment, μB per formula unit: 0.000

=====

Most stable of them? version 2.